A plane-wave DFT calculation with PBE was carried out for crystalline Ba2MoAs2 at its relaxed geometry.

Computed properties:
Calculated total energy, eV per cell: -106.89
Size of the total moment, μB/f.u.: 0.0
Theoretical density, g/cm3: 5.297

Unit cell a=8.7306 b=9.9258 c=7.8111 alpha=90.00 beta=105.40 gamma=90.00
Last column: nearest neighbours and their distance in Å.
Fractional coordinates of all 20 atoms:
Mo1 0.3715 0.9687 0.9785  1 Mo 2.27, 2 As 2.46-2.49
Mo2 0.6285 0.0313 0.0215  1 Mo 2.27, 2 As 2.46-2.49
Mo3 0.6285 0.4687 0.5215  1 Mo 2.27, 2 As 2.46-2.49
Mo4 0.3715 0.5313 0.4785  1 Mo 2.27, 2 As 2.46-2.49
Ba1 0.4561 0.1625 0.5804  5 As 3.22-3.59, 1 Mo 3.48
Ba2 0.5439 0.6625 0.9196  5 As 3.22-3.59, 1 Mo 3.48
Ba3 0.0169 0.8553 0.2602  6 As 3.29-3.62
Ba4 0.9831 0.3553 0.2398  6 As 3.29-3.62
Ba5 0.4561 0.3375 0.0804  5 As 3.22-3.59, 1 Mo 3.48
Ba6 0.9831 0.1447 0.7398  6 As 3.29-3.62
Ba7 0.0169 0.6447 0.7602  6 As 3.29-3.62
Ba8 0.5439 0.8375 0.4196  5 As 3.22-3.59, 1 Mo 3.48
As1 0.2321 0.4000 0.6589  1 Mo 2.46
As2 0.7424 0.1086 0.3324  1 Mo 2.49
As3 0.7679 0.6000 0.3411  1 Mo 2.46
As4 0.2576 0.8914 0.6676  1 Mo 2.49
As5 0.2576 0.6086 0.1676  1 Mo 2.49
As6 0.7424 0.3914 0.8324  1 Mo 2.49
As7 0.2321 0.1000 0.1589  1 Mo 2.46
As8 0.7679 0.9000 0.8411  1 Mo 2.46